First-principles (meta-GGA SCAN) data for a PBEsol-optimized structure of Cr2InAg, as listed in Alexandria via LeMat-Bulk. Values from VASP.

```
&SYSTEM
  ibrav = 0, nat = 4, ntyp = 3
/
ATOMIC_SPECIES
Ag 107.87 Ag.upf
Cr 52.00 Cr.upf
In 114.82 In.upf
CELL_PARAMETERS angstrom
-2.067 2.799 0.120
-3.037 -2.192 -1.176
1.596 -1.186 4.642
ATOMIC_POSITIONS crystal
Ag 0.000 0.500 0.000
Cr 0.750 0.750 0.500
Cr 0.250 0.250 0.500
In 0.500 0.000 0.000
```

Results
Formation enthalpy at 0 K   14.32 kcal/mol of atoms
Electronic total energy   -24.7599 eV per atom
N(E_F)   2.498 states/eV/cell
Space-group type   Immm (71)

***

First-principles (meta-GGA SCAN) data for a PBEsol-optimized structure of Ca13Al14, as listed in Alexandria via LeMat-Bulk. Values from VASP.

```
&SYSTEM
  ibrav = 0, nat = 27, ntyp = 2
/
ATOMIC_SPECIES
Al 26.98 Al.upf
Ca 40.08 Ca.upf
CELL_PARAMETERS angstrom
-6.274 -4.619 4.643
3.248 -6.236 5.729
-0.280 4.152 8.640
ATOMIC_POSITIONS crystal
Al 0.523 0.796 0.917
Al 0.204 0.477 0.083
Al 0.477 0.204 0.083
Al 0.796 0.523 0.917
Al 0.002 0.002 0.841
Al 0.998 0.998 0.159
Al 0.259 0.259 0.344
Al 0.741 0.741 0.656
Al 0.339 0.339 0.569
Al 0.661 0.661 0.431
Al 0.354 0.646 0.500
Al 0.646 0.354 0.500
Al 0.226 0.774 0.000
Al 0.774 0.226 0.000
Ca 0.350 0.944 0.633
Ca 0.056 0.650 0.367
Ca 0.650 0.056 0.367
Ca 0.944 0.350 0.633
Ca 0.644 0.081 0.773
Ca 0.919 0.356 0.227
Ca 0.356 0.919 0.227
Ca 0.081 0.644 0.773
Ca 0.196 0.196 0.916
Ca 0.804 0.804 0.084
Ca 0.504 0.504 0.799
Ca 0.496 0.496 0.201
Ca 0.000 0.000 0.500
```

Results
Formation enthalpy at 0 K   -6.31 kcal/mol of atoms
Electronic total energy   -8.9459 eV per atom
N(E_F)   14.202 states/eV/cell
Space-group type   C2/m (12)

***

First-principles (meta-GGA SCAN) data for a PBEsol-optimized structure of MnZnP, as listed in Alexandria via LeMat-Bulk. Values from VASP.

```
&SYSTEM
  ibrav = 0, nat = 3, ntyp = 3
/
ATOMIC_SPECIES
Mn 54.94 Mn.upf
P 30.97 P.upf
Zn 65.41 Zn.upf
CELL_PARAMETERS angstrom
-0.059 -1.094 -3.001
3.513 1.114 -0.475
-0.709 -3.422 1.262
ATOMIC_POSITIONS crystal
Mn 0.000 0.000 0.000
P 0.000 0.333 0.667
Zn 0.500 0.667 0.333
```

Results
Formation enthalpy at 0 K   0.33 kcal/mol of atoms
Electronic total energy   -14.0419 eV per atom
N(E_F)   1.321 states/eV/cell
Space-group type   P-6m2 (187)

***

First-principles (meta-GGA SCAN) data for a PBEsol-optimized structure of Y2RuPt, as listed in Alexandria via LeMat-Bulk. Values from VASP.

```
&SYSTEM
  ibrav = 0, nat = 4, ntyp = 3
/
ATOMIC_SPECIES
Y 88.91 Y.upf
Ru 101.07 Ru.upf
Pt 195.08 Pt.upf
CELL_PARAMETERS angstrom
-2.059 -2.660 0.563
1.449 -0.476 3.051
-4.536 4.104 2.794
ATOMIC_POSITIONS crystal
Y 0.000 0.000 0.744
Y 0.000 0.000 0.256
Ru 0.500 0.500 0.500
Pt 0.500 0.500 0.000
```

Results
Formation enthalpy at 0 K   -22.18 kcal/mol of atoms
Electronic total energy   -41.1380 eV per atom
N(E_F)   0.834 states/eV/cell
Space-group type   P4/mmm (123)

***

First-principles (meta-GGA SCAN) data for a PBEsol-optimized structure of CaZnIn, as listed in Alexandria via LeMat-Bulk. Values from VASP.

```
&SYSTEM
  ibrav = 0, nat = 3, ntyp = 3
/
ATOMIC_SPECIES
Zn 65.41 Zn.upf
Ca 40.08 Ca.upf
In 114.82 In.upf
CELL_PARAMETERS angstrom
3.595 0.000 0.000
0.000 4.693 0.000
0.000 -2.347 4.064
ATOMIC_POSITIONS crystal
Zn 0.500 0.667 0.333
Ca 0.000 0.000 0.000
In 0.500 0.333 0.667
```

Results
Formation enthalpy at 0 K   -10.98 kcal/mol of atoms
Electronic total energy   -19.3313 eV per atom
N(E_F)   1.134 states/eV/cell
Space-group type   P-6m2 (187)

***

First-principles (meta-GGA SCAN) data for a PBEsol-optimized structure of ScAgOs2, as listed in Alexandria via LeMat-Bulk. Values from VASP.

```
&SYSTEM
  ibrav = 0, nat = 4, ntyp = 3
/
ATOMIC_SPECIES
Ag 107.87 Ag.upf
Os 190.23 Os.upf
Sc 44.96 Sc.upf
CELL_PARAMETERS angstrom
2.763 0.000 0.010
0.000 4.653 0.000
-0.377 0.000 4.847
ATOMIC_POSITIONS crystal
Ag 0.000 0.500 0.500
Os 0.781 0.000 0.753
Os 0.219 0.000 0.247
Sc 0.500 0.500 0.000
```

Results
Formation enthalpy at 0 K   5.73 kcal/mol of atoms
Relative energy among the computed polymorphs   112 meV/atom
Electronic total energy   -47.0927 eV per atom
N(E_F)   3.249 states/eV/cell
Space-group type   P2/m (10)

***

First-principles (meta-GGA SCAN) data for a PBEsol-optimized structure of BaCd2CI, as listed in Alexandria via LeMat-Bulk. Values from VASP.

```
&SYSTEM
  ibrav = 0, nat = 5, ntyp = 4
/
ATOMIC_SPECIES
I 126.90 I.upf
C 12.01 C.upf
Ba 137.33 Ba.upf
Cd 112.41 Cd.upf
CELL_PARAMETERS angstrom
4.503 0.000 0.000
0.000 4.503 0.000
0.000 0.000 7.567
ATOMIC_POSITIONS crystal
I 0.000 0.000 0.500
C 0.000 0.000 0.000
Ba 0.500 0.500 0.500
Cd 0.000 0.500 0.000
Cd 0.500 0.000 0.000
```

Results
Raw formation energy   0.33 eV/atom
Electronic total energy   -29.1157 eV per atom
N(E_F)   1.925 states/eV/cell
Space-group type   P4/mmm (123)

***

First-principles (meta-GGA SCAN) data for a PBEsol-optimized structure of Ta2BeAl, as listed in Alexandria via LeMat-Bulk. Values from VASP.

```
&SYSTEM
  ibrav = 0, nat = 4, ntyp = 3
/
ATOMIC_SPECIES
Be 9.01 Be.upf
Al 26.98 Al.upf
Ta 180.95 Ta.upf
CELL_PARAMETERS angstrom
3.335 0.000 0.000
0.000 4.233 0.000
-1.667 -2.117 4.232
ATOMIC_POSITIONS crystal
Be 0.762 0.262 0.523
Al 0.474 0.474 0.947
Ta 0.018 0.018 0.035
Ta 0.247 0.747 0.494
```

Results
Formation enthalpy at 0 K   -0.32 kcal/mol of atoms
Relative energy among the computed polymorphs   148 meV/atom
Electronic total energy   -36.3319 eV per atom
N(E_F)   2.409 states/eV/cell
Space-group type   Imm2 (44)

***

First-principles (meta-GGA SCAN) data for a PBEsol-optimized structure of KCuAg, as listed in Alexandria via LeMat-Bulk. Values from VASP.

```
&SYSTEM
  ibrav = 0, nat = 3, ntyp = 3
/
ATOMIC_SPECIES
Ag 107.87 Ag.upf
Cu 63.55 Cu.upf
K 39.10 K.upf
CELL_PARAMETERS angstrom
-4.597 -0.919 1.087
-1.134 -1.842 4.299
-2.292 2.710 3.250
ATOMIC_POSITIONS crystal
Ag 0.750 0.750 0.750
Cu 0.000 0.000 0.000
K 0.500 0.500 0.500
```

Results
Formation enthalpy at 0 K   14.37 kcal/mol of atoms
Electronic total energy   -17.6752 eV per atom
N(E_F)   0.978 states/eV/cell
Space-group type   F-43m (216)

***

First-principles (meta-GGA SCAN) data for a PBEsol-optimized structure of NbReSn3, as listed in Alexandria via LeMat-Bulk. Values from VASP.

```
&SYSTEM
  ibrav = 0, nat = 5, ntyp = 3
/
ATOMIC_SPECIES
Re 186.21 Re.upf
Nb 92.91 Nb.upf
Sn 118.71 Sn.upf
CELL_PARAMETERS angstrom
-5.008 -0.991 -1.279
-0.894 -1.772 4.874
-1.348 4.855 1.518
ATOMIC_POSITIONS crystal
Re 0.500 0.500 0.500
Nb 0.000 0.000 0.000
Sn 0.000 0.500 0.000
Sn 0.000 0.000 0.500
Sn 0.500 0.000 0.000
```

Results
Formation enthalpy at 0 K   34.99 kcal/mol of atoms
Electronic total energy   -40.8808 eV per atom
N(E_F)   1.717 states/eV/cell
Space-group type   Pm-3m (221)

***

First-principles (meta-GGA SCAN) data for a PBEsol-optimized structure of Ca2TlSe, as listed in Alexandria via LeMat-Bulk. Values from VASP.

```
&SYSTEM
  ibrav = 0, nat = 4, ntyp = 3
/
ATOMIC_SPECIES
Tl 204.38 Tl.upf
Ca 40.08 Ca.upf
Se 78.96 Se.upf
CELL_PARAMETERS angstrom
3.659 0.000 0.000
0.000 3.809 0.000
-1.829 -1.904 8.285
ATOMIC_POSITIONS crystal
Tl 0.804 0.304 0.609
Ca 0.968 0.968 0.937
Ca 0.182 0.682 0.364
Se 0.545 0.545 0.091
```

Results
Relative energy among the computed polymorphs   0 meV/atom
Raw formation energy   -1.14 eV/atom
Electronic total energy   -29.0783 eV per atom
N(E_F)   2.471 states/eV/cell
Space-group type   Imm2 (44)

***

First-principles (meta-GGA SCAN) data for a PBEsol-optimized structure of InP, as listed in Alexandria via LeMat-Bulk. Values from VASP.

```
&SYSTEM
  ibrav = 0, nat = 2, ntyp = 2
/
ATOMIC_SPECIES
P 30.97 P.upf
In 114.82 In.upf
CELL_PARAMETERS angstrom
-3.213 -0.327 -2.606
0.522 -1.744 -3.729
-1.653 -3.722 -0.800
ATOMIC_POSITIONS crystal
P 0.750 0.750 0.750
In 0.000 0.000 0.000
```

Results
Formation enthalpy at 0 K   -7.06 kcal/mol of atoms
Electronic total energy   -22.1988 eV per atom
Space-group type   F-43m (216)